LiSmEuLu (PBE-GGA, optimized geometry); N(E_F) = 3.814 states/eV per cell; energy of formation from the pure elements = 191 meV/atom; spin magnetization = 7.15 μB per cell
1.0
5.611 0.000 0.000
2.806 4.860 0.000
2.806 1.620 4.582
Lu Sm Li Eu
1 1 1 1
Cartesian
8.417 4.860 3.436
0.000 0.000 0.000
2.806 1.620 1.145
5.611 3.240 2.291